Record 1
# GGA-PBEsol HPtAuN2, relaxed
# Density of states at the Fermi level: 0.46 states/eV/atom
data_HPtAuN2
_chemical_formula_sum 'H1 Pt1 Au1 N2'
_symmetry_space_group_name_H-M 'P 4/m m m'
_symmetry_Int_Tables_number 123
_symmetry_space_group_name_Hall '-P 4 2'
_cell_length_a 3.934
_cell_length_b 3.934
_cell_length_c 3.239
_cell_angle_alpha 90.00
_cell_angle_beta 90.00
_cell_angle_gamma 90.00
loop_
_atom_site_label
_atom_site_type_symbol
_atom_site_fract_x
_atom_site_fract_y
_atom_site_fract_z
H1 H 0.000 0.000 0.000
Pt1 Pt 0.000 0.000 0.500
Au1 Au 0.500 0.500 0.500
N1 N 0.000 0.500 0.000

Record 2
# GGA-PBEsol Tc3PdAu, relaxed
# Density of states at the Fermi level: 1.85 states/eV/atom
data_Tc3PdAu
_chemical_formula_sum 'Tc3 Pd1 Au1'
_symmetry_space_group_name_H-M 'P m -3 m'
_symmetry_Int_Tables_number 221
_symmetry_space_group_name_Hall '-P 4 2 3'
_cell_length_a 4.679
_cell_length_b 4.679
_cell_length_c 4.679
_cell_angle_alpha 90.00
_cell_angle_beta 90.00
_cell_angle_gamma 90.00
loop_
_atom_site_label
_atom_site_type_symbol
_atom_site_fract_x
_atom_site_fract_y
_atom_site_fract_z
Tc1 Tc 0.000 0.000 0.500
Pd1 Pd 0.500 0.500 0.500
Au1 Au 0.000 0.000 0.000

| no. | final energy (eV per atom) |
| --- | --- |
| 1 | -4.523 |
| 2 | -6.120 |